This record from Alexandria describes a geometry-optimized Co6SiW structure. The functional is PBEsol.

Results
- Volume: 85.1 Å³/f.u.
- DOS at the Fermi energy: 1.0819 states/eV per atom
- Raw formation energy: -233 meV/atom
- Raw total energy: -8.480 eV/atom

abc: 6.0508 6.0508 9.8867
angles: 90.00 90.00 109.87
Atoms (fractional coordinates):
Co: 0.2488 0.7512 0.7461
Co: 0.8787 0.6315 0.8727
Co: 0.1213 0.3685 0.8727
Co: 0.7512 0.2488 0.7461
Co: 0.3685 0.1213 0.8727
Co: 0.6315 0.8787 0.8727
Co: 0.5000 0.5000 0.5000
Co: 0.1201 0.3714 0.6227
Co: 0.3714 0.1201 0.6227
Co: 0.2488 0.7512 0.2539
Co: 0.8799 0.6286 0.3773
Co: 0.1201 0.3714 0.3773
Co: 0.7512 0.2488 0.2539
Co: 0.3714 0.1201 0.3773
Co: 0.6286 0.8799 0.3773
Co: 0.5000 0.5000 0.0000
Co: 0.1213 0.3685 0.1273
Co: 0.3685 0.1213 0.1273
Co: 0.0000 0.0000 0.5000
Co: 0.6286 0.8799 0.6227
Co: 0.8799 0.6286 0.6227
Co: 0.0000 0.0000 0.0000
Co: 0.6315 0.8787 0.1273
Co: 0.8787 0.6315 0.1273
Si: 0.2574 0.7426 0.5000
Si: 0.7426 0.2574 0.5000
Si: 0.0000 0.0000 0.7450
Si: 0.0000 0.0000 0.2550
W: 0.2561 0.7439 0.0000
W: 0.7439 0.2561 0.0000
W: 0.5000 0.5000 0.7465
W: 0.5000 0.5000 0.2535